## CdNi6W (GGA-PBE)

Data for CdNi6W after structural relaxation.

Properties
DOS at the Fermi energy: 13.90 states/eV/cell
ΔH_f (0 K): -0.022 eV/atom
calculated density: 10.8 g/cm3

Cell: 7.349 10.401 10.444 Å, 90.00 90.00 90.00°
Space group Cmmm (No. 65)
Asymmetric unit:
Cd1 0.000 0.000 0.250
Cd2 0.000 0.245 0.000
Ni1 0.000 0.000 0.000
Ni2 0.000 0.000 0.500
Ni3 0.000 0.255 0.260
Ni4 0.000 0.500 0.000
Ni5 0.000 0.500 0.500
Ni6 0.240 0.378 0.131
Ni7 0.244 0.373 0.381
W1 0.000 0.251 0.500
W2 0.000 0.500 0.244